The following is a PBE-GGA calculation of Ni2IrRh after structural relaxation, from the Alexandria database.

**Crystal system**: trigonal
**DFT formation energy**: 78 meV per atom
**Magnetic moment**: 2.89 μB per cell
**DOS(E_F)**: 6.213 states/eV/f.u.

Cell: 2.6709 2.6709 25.0953 Å, 90.00 90.00 120.00°
Space group R3m (No. 160, hexagonal axes)
Symmetry-distinct sites (fractional):
Ni1 0.0000 0.0000 0.0000
Ni2 0.0000 0.0000 0.2555
Ir1 0.0000 0.0000 0.5059
Rh1 0.0000 0.0000 0.7503


The following is a PBE-GGA calculation of NiIr4Rh4 after structural relaxation, from the Alexandria database.

**Crystal system**: tetragonal
**DFT formation energy**: -2 meV per atom
**Magnetic moment**: 0.00 μB per cell
**DOS(E_F)**: 11.396 states/eV/f.u.

Cell: 8.126 8.126 3.826 Å, 90.00 90.00 90.00°
Space group I4/mmm (No. 139)
Symmetry-distinct sites (fractional):
Ni1 0.000 0.000 0.000
Ir1 0.166 0.166 0.500
Rh1 0.000 0.330 0.000


The following is a PBE-GGA calculation of Ni6Ir3Rh after structural relaxation, from the Alexandria database.

**Crystal system**: monoclinic
**DFT formation energy**: 247 meV per atom
**Magnetic moment**: 4.94 μB per cell
**DOS(E_F)**: 18.384 states/eV/f.u.

Cell: 8.773 4.707 6.814 Å, 90.00 110.27 90.00°
Space group C2/m (No. 12)
Symmetry-distinct sites (fractional):
Ni1 0.167 0.000 0.427
Ni2 0.171 0.249 0.813
Ir1 0.000 0.500 0.500
Ir2 0.092 0.500 0.193
Rh1 0.000 0.000 0.000


The following is a PBE-GGA calculation of Ni2IrRh after structural relaxation, from the Alexandria database.

**Crystal system**: orthorhombic
**DFT formation energy**: 124 meV per atom
**Magnetic moment**: 0.00 μB per cell
**DOS(E_F)**: 7.640 states/eV/f.u.

Cell: 2.744 4.299 8.634 Å, 90.00 90.00 90.00°
Space group Imm2 (No. 44)
Symmetry-distinct sites (fractional):
Ni1 0.000 0.000 0.000
Ni2 0.000 0.500 0.269
Ir1 0.000 0.000 0.523
Rh1 0.000 0.500 0.756


The following is a PBE-GGA calculation of NiIr6Rh5 after structural relaxation, from the Alexandria database.

**Crystal system**: orthorhombic
**DFT formation energy**: 19 meV per atom
**Magnetic moment**: 0.01 μB per cell
**DOS(E_F)**: 15.838 states/eV/f.u.

Cell: 3.837 7.688 11.518 Å, 90.00 90.00 90.00°
Space group Immm (No. 71)
Symmetry-distinct sites (fractional):
Ni1 0.000 0.000 0.000
Ir1 0.000 0.248 0.165
Ir2 0.000 0.252 0.500
Rh1 0.000 0.000 0.332
Rh2 0.000 0.500 0.000
Rh3 0.000 0.500 0.333


The following is a PBE-GGA calculation of Ni3Ir2Rh2 after structural relaxation, from the Alexandria database.

**Crystal system**: monoclinic
**DFT formation energy**: 11 meV per atom
**Magnetic moment**: 0.01 μB per cell
**DOS(E_F)**: 10.404 states/eV/f.u.

Cell: 8.392 3.698 5.892 Å, 90.00 97.05 90.00°
Space group C2/m (No. 12)
Symmetry-distinct sites (fractional):
Ni1 0.000 0.000 0.000
Ni2 0.144 0.000 0.430
Ir1 0.214 0.500 0.150
Rh1 0.071 0.500 0.714


The following is a PBE-GGA calculation of Ni5IrRh2 after structural relaxation, from the Alexandria database.

**Crystal system**: orthorhombic
**DFT formation energy**: 229 meV per atom
**Magnetic moment**: 19.04 μB per cell
**DOS(E_F)**: 14.746 states/eV/f.u.

Cell: 4.138 8.310 12.142 Å, 90.00 90.00 90.00°
Space group Cmcm (No. 63)
Symmetry-distinct sites (fractional):
Ni1 0.000 0.038 0.250
Ni2 0.000 0.097 0.568
Ni3 0.000 0.425 0.584
Ir1 0.000 0.257 0.750
Rh1 0.000 0.259 0.110


The following is a PBE-GGA calculation of NiIrRh2 after structural relaxation, from the Alexandria database.

**Crystal system**: tetragonal
**DFT formation energy**: 223 meV per atom
**Magnetic moment**: 0.74 μB per cell
**DOS(E_F)**: 7.523 states/eV/f.u.

Cell: 4.557 4.557 2.693 Å, 90.00 90.00 90.00°
Space group P4/mmm (No. 123)
Symmetry-distinct sites (fractional):
Ni1 0.000 0.000 0.000
Ir1 0.500 0.500 0.000
Rh1 0.000 0.500 0.500